Record 1
{
  "formula": "Ni4OsBr",
  "functional": "PBE-GGA",
  "state": "optimized geometry",
  "e_form_raw_ev_per_atom": 0.764,
  "total_energy_ry_per_atom": -0.3852,
  "cell": [[-3.302, -3.517, 0.159], [-1.394, -1.811, 4.251], [-4.430, 0.923, 1.681]],
  "species": ["Os", "Ni", "Br", "Ni", "Ni", "Ni"],
  "fractional_positions": [[0.750, 0.750, 0.750], [0.376, 0.376, 0.873], [0.000, 0.000, 0.000], [0.376, 0.376, 0.376], [0.376, 0.873, 0.376], [0.873, 0.376, 0.376]]
}

---

Record 2
{
  "formula": "Ca2PIr",
  "functional": "PBE-GGA",
  "state": "optimized geometry",
  "total_energy_ry_per_atom": -0.3932,
  "cell": [[4.208, 0.000, 0.000], [0.000, 4.470, 0.001], [0.000, 2.234, 4.913]],
  "species": ["Ca", "Ca", "P", "Ir"],
  "fractional_positions": [[0.500, 0.270, 0.334], [0.000, 0.978, 0.918], [0.500, 0.577, 0.722], [0.000, 0.675, 0.526]]
}